First-principles (PBE) data for a relaxed structure of Ba8Na3Pd, as listed in Alexandria via LeMat-Bulk.

extended XYZ file:
```
24
Lattice="8.8739 0.0000 0.0000 0.0000 11.0363 -6.3718 0.0000 0.0000 12.7436" Properties=species:S:1:pos:R:3 pbc="T T T"
Ba 2.5685 6.9987 6.3718
Ba 4.2185 10.0262 0.0000
Ba 4.2185 6.0231 2.3112
Ba 0.5578 7.3575 0.0000
Ba 2.5685 2.0188 3.4967
Ba 7.0055 9.0175 2.8751
Ba 2.5685 2.0188 9.2469
Ba 4.9948 3.6787 6.3718
Ba 8.6555 5.0131 8.6830
Ba 8.6555 1.0100 6.3718
Ba 7.0055 9.0175 -2.8751
Ba 4.2185 6.0231 -2.3112
Ba 0.1224 0.0000 0.0000
Ba 7.0055 4.0376 0.0000
Ba 8.6555 5.0131 4.0606
Ba 4.5593 0.0000 0.0000
Na 2.0881 3.5757 0.0000
Na 2.0881 9.2484 3.2751
Na 6.5251 1.7878 3.0967
Na 6.5251 7.4606 6.3718
Na 2.0881 9.2484 -3.2751
Na 6.5251 1.7879 9.6469
Pd 6.1757 7.3575 0.0000
Pd 1.7387 3.6787 6.3718
```

Properties
DOS at the Fermi energy = 33.29 states/eV per cell
energy = -2.11 eV/atom
space-group type = P6_3mc (186)
ρ = 3.4 Mg/m³
spin magnetization = 0.0 μB/f.u.